Material: LiCa
Method: DFT, PBE
State: optimized geometry

POSCAR file:
```
LiCa
1.0
6.303 0.000 0.000
0.000 6.476 0.000
0.000 0.000 12.302
Li Ca
8 8
direct
0.125 0.139 0.224
0.144 0.397 0.418
0.356 0.603 0.918
0.375 0.861 0.724
0.625 0.361 0.776
0.644 0.103 0.582
0.856 0.897 0.082
0.875 0.639 0.276
0.131 0.910 0.482
0.133 0.369 0.691
0.367 0.631 0.191
0.369 0.090 0.982
0.631 0.590 0.518
0.633 0.131 0.309
0.867 0.869 0.809
0.869 0.410 0.018
```

Output
**Energy above the lowest structure with this stoichiometry**: 0.0090 eV/atom
**Energy**: -30.99 eV for the cell shown
**Formation energy**: 0.02 eV/atom
**Mass density**: 1.2 Mg/m³

---

Material: La2Sm7Hg2
Method: DFT, PBE
State: optimized geometry

POSCAR file:
```
La2Sm7Hg2
1.0
4.532 -4.937 0.000
4.532 4.937 0.000
-1.929 0.000 8.077
La Sm Hg
2 7 2
direct
0.180 0.820 0.000
0.820 0.180 0.000
0.000 0.000 0.500
0.126 0.525 0.332
0.307 0.307 0.960
0.475 0.874 0.668
0.525 0.126 0.332
0.693 0.693 0.040
0.874 0.475 0.668
0.387 0.387 0.634
0.613 0.613 0.366
```

Output
**Energy**: -43.90 eV for the cell shown
**Formation energy**: -0.04 eV/atom
**Mass density**: 8.0 Mg/m³

---

Material: MgHg2Pb
Method: DFT, PBE
State: optimized geometry

POSCAR file:
```
MgHg2Pb
1.0
3.663 0.000 0.000
0.000 5.520 0.000
0.000 0.000 10.080
Mg Hg Pb
2 4 2
direct
0.000 0.000 0.000
0.500 0.500 0.500
0.000 0.500 0.272
0.000 0.500 0.728
0.500 0.000 0.228
0.500 0.000 0.772
0.000 0.000 0.500
0.500 0.500 0.000
```

Output
**Energy**: -12.17 eV for the cell shown
**Formation energy**: -0.04 eV/atom
**Mass density**: 10.3 Mg/m³

---

Material: InPt2Br
Method: DFT, PBE
State: optimized geometry

POSCAR file:
```
InPt2Br
1.0
6.165 0.000 0.000
0.000 6.174 0.000
0.000 0.000 3.915
In Pt Br
2 4 2
direct
0.000 0.000 0.000
0.500 0.500 0.000
0.250 0.250 0.500
0.250 0.750 0.500
0.750 0.250 0.500
0.750 0.750 0.500
0.000 0.500 0.000
0.500 0.000 0.000
```

Output
**Energy above the lowest structure with this stoichiometry**: 0.4007 eV/atom
**Energy**: -30.84 eV for the cell shown
**Mass density**: 13.0 Mg/m³
**Raw formation energy**: 268 meV per atom

---

Material: BaMn3Os
Method: DFT, PBE
State: optimized geometry

POSCAR file:
```
BaMn3Os
1.0
4.882 0.000 0.000
0.000 4.882 0.000
0.000 0.000 4.882
Ba Mn Os
1 3 1
direct
0.000 0.000 0.000
0.000 0.000 0.500
0.000 0.500 0.000
0.500 0.000 0.000
0.500 0.500 0.500
```

Output
**Energy above the lowest structure with this stoichiometry**: 2.0527 eV/atom
**Energy**: -26.72 eV for the cell shown
**Formation energy**: 2.79 eV/atom
**Mass density**: 7.0 Mg/m³

---

Material: Ba2TaP
Method: DFT, PBE
State: optimized geometry

POSCAR file:
```
Ba2TaP
1.0
7.743 0.000 0.000
0.000 7.743 0.000
0.000 0.000 7.743
Ba Ta P
8 4 4
direct
0.000 0.000 0.000
0.000 0.500 0.500
0.250 0.250 0.250
0.250 0.750 0.750
0.500 0.000 0.500
0.500 0.500 0.000
0.750 0.250 0.750
0.750 0.750 0.250
0.250 0.250 0.750
0.250 0.750 0.250
0.750 0.250 0.250
0.750 0.750 0.750
0.000 0.000 0.500
0.000 0.500 0.000
0.500 0.000 0.000
0.500 0.500 0.500
```

Output
**Energy**: -71.44 eV for the cell shown
**Formation energy**: 0.81 eV/atom
**Mass density**: 7.0 Mg/m³

---

Material: SnSeO
Method: DFT, PBE
State: optimized geometry

POSCAR file:
```
SnSeO
1.0
5.971 0.000 0.000
0.000 3.611 0.000
-1.435 0.000 6.615
Sn Se O
2 2 2
direct
0.232 0.250 0.494
0.768 0.750 0.506
0.367 0.750 0.240
0.633 0.250 0.760
0.121 0.750 0.629
0.879 0.250 0.371
```

Output
**Energy**: -30.18 eV for the cell shown
**Mass density**: 5.0 Mg/m³
**Raw formation energy**: -881 meV per atom

---

Material: Ca4HgBi
Method: DFT, PBE
State: optimized geometry

POSCAR file:
```
Ca4HgBi
1.0
5.274 0.000 0.000
0.000 5.274 0.000
0.000 0.000 7.782
Ca Hg Bi
4 1 1
direct
0.000 0.500 0.239
0.000 0.500 0.761
0.500 0.000 0.239
0.500 0.000 0.761
0.000 0.000 0.000
0.500 0.500 0.500
```

Output
**Energy above the lowest structure with this stoichiometry**: 0.0188 eV/atom
**Energy**: -15.26 eV for the cell shown
**Formation energy**: -0.51 eV/atom
**Mass density**: 4.4 Mg/m³

---

Material: ZnOsRu2
Method: DFT, PBE
State: optimized geometry

POSCAR file:
```
ZnOsRu2
1.0
2.733 0.000 0.000
-1.366 2.367 0.000
0.000 0.000 26.292
Zn Os Ru
3 3 6
direct
0.000 0.000 0.000
0.333 0.667 0.667
0.667 0.333 0.333
0.000 0.000 0.500
0.333 0.667 0.167
0.667 0.333 0.833
0.000 0.000 0.249
0.000 0.000 0.751
0.333 0.667 0.418
0.333 0.667 0.915
0.667 0.333 0.085
0.667 0.333 0.582
```

Output
**Energy**: -92.14 eV for the cell shown
**Formation energy**: 0.09 eV/atom
**Mass density**: 13.4 Mg/m³

---

Material: AgIr2PdRh
Method: DFT, PBE
State: optimized geometry

POSCAR file:
```
AgIr2PdRh
1.0
4.766 0.000 0.000
0.000 4.766 0.000
0.000 0.000 4.765
Ag Ir Pd Rh
1 2 1 1
direct
0.000 0.000 0.000
0.000 0.500 0.500
0.500 0.000 0.500
0.500 0.500 0.500
0.500 0.500 0.000
```

Output
**Energy**: -23.61 eV for the cell shown
**Formation energy**: 1.90 eV/atom
**Mass density**: 10.8 Mg/m³

---

Material: NaP3Pt
Method: DFT, PBE
State: optimized geometry

POSCAR file:
```
NaP3Pt
1.0
4.810 0.000 0.000
0.000 4.810 0.000
0.000 0.000 4.810
Na P Pt
1 3 1
direct
0.000 0.000 0.000
0.000 0.500 0.500
0.500 0.000 0.500
0.500 0.500 0.000
0.500 0.500 0.500
```

Output
**Energy above the lowest structure with this stoichiometry**: 0.0000 eV/atom
**Energy**: -21.07 eV for the cell shown
**Formation energy**: 0.50 eV/atom
**Mass density**: 4.6 Mg/m³

---

Material: Zr2TaTe
Method: DFT, PBE
State: optimized geometry

POSCAR file:
```
Zr2TaTe
1.0
3.667 0.000 0.000
0.000 3.667 0.000
0.000 0.000 6.389
Zr Ta Te
2 1 1
direct
0.000 0.000 0.242
0.000 0.000 0.758
0.500 0.500 0.000
0.500 0.500 0.500
```

Output
**Energy**: -33.29 eV for the cell shown
**Mass density**: 9.5 Mg/m³
**Raw formation energy**: -300 meV per atom

---

| no. | magnetization (μB/f.u.) |
| --- | --- |
| 1 | 0.0 |
| 2 | 0.0 |
| 3 | 0.0 |
| 4 | 0.0 |
| 5 | 12.2 |
| 6 | 4.1 |
| 7 | 0.0 |
| 8 | 0.0 |
| 9 | 0.0 |
| 10 | 3.5 |
| 11 | 0.0 |
| 12 | 0.0 |